This record from Alexandria describes an optimized crystal structure of CrTeNO2. The functional is GGA+U.

Cell: 3.6720 3.6720 4.2730 Å, 90.00 90.00 90.00°
Last column: nearest neighbours and their distance in Å.
Space group P4/mmm (No. 123)
Inequivalent atoms, fractional coordinates:
Cr 0.0000 0.0000 0.0000  4 O 1.84
Te 0.5000 0.5000 0.5000  4 N 2.60, 8 O 2.82
N 0.0000 0.0000 0.5000  2 Cr 2.14
O 0.0000 0.5000 0.0000  2 Cr 1.84

Properties
final energy: -27.96 eV per cell